First-principles (PBE) data for a relaxed HgSb crystal, as listed in the Alexandria database.

Calculated values
* DOS at the Fermi energy: 7.584 states/eV per cell
* calculated volume: 279 Å³/cell
* space-group type: F-43m, No. 216
* VASP energy: -1.97 eV/atom

Unit cell a=6.5362 b=6.5362 c=6.5362 alpha=90.00 beta=90.00 gamma=90.00
Last column: nearest neighbours and their distance in Å.
Atoms (fractional coordinates):
Hg 0.0000 0.0000 0.0000  4 Sb 2.83
Hg 0.0000 0.5000 0.5000  4 Sb 2.83
Hg 0.5000 0.0000 0.5000  4 Sb 2.83
Hg 0.5000 0.5000 0.0000  4 Sb 2.83
Sb 0.2500 0.2500 0.2500  4 Hg 2.83
Sb 0.2500 0.7500 0.7500  4 Hg 2.83
Sb 0.7500 0.2500 0.7500  4 Hg 2.83
Sb 0.7500 0.7500 0.2500  4 Hg 2.83